The following is a PBE-GGA calculation of a relaxed CrP2 crystal, from Alexandria.

a b c (Å): 5.4458 5.4458 5.4458
angles (deg): 149.18 149.18 44.14
Fractional coordinates of all 3 atoms:
P1 0.6271 0.6271 0.0000
P2 0.3729 0.3729 0.0000
Cr1 0.0000 0.0000 0.0000

total magnetization	0.0	μB/f.u.
energy	-6.78	eV/atom